Tb2Pr3Te5: optimized geometry, PBE.

The structure belongs to space group C2/m (No. 12); the cell edges are 14.845, 4.453 and 10.987 Å and the angles 90.00°, 119.73° and 90.00°. The asymmetric unit holds Tb at (0.097, 0.000, 0.402), Pr at (0.000, 0.500, 0.000), Pr at (0.208, 0.500, 0.805), Te at (0.000, 0.500, 0.500), Te at (0.096, 0.000, 0.890) and Te at (0.198, 0.500, 0.312).

The final energy comes out at -5.322 eV/atom. The raw formation energy is -1.39 eV/atom.